Entry 1:
# Pm2CdNi4As3 (PBE, optimized geometry)
# Energy: -5.436 eV per atom
# DOS at the Fermi energy: 0.647 states/eV/atom
# Formation energy from the elements: -66.3 kJ per mole of atoms
# ρ: 8309 kg/m3
data_Pm2CdNi4As3
_space_group_name_H-M_alt 'P -4 m 2'
_space_group_IT_number 115
_space_group_name_Hall 'P -4 -2'
_cell_length_a 4.120
_cell_length_b 4.120
_cell_length_c 10.150
_cell_angle_alpha 90.00
_cell_angle_beta 90.00
_cell_angle_gamma 90.00
loop_
_atom_site_label
_atom_site_type_symbol
_atom_site_fract_x
_atom_site_fract_y
_atom_site_fract_z
Pm1 Pm 0.000 0.500 0.235
Cd1 Cd 0.000 0.000 0.500
Ni1 Ni 0.000 0.000 0.000
Ni2 Ni 0.000 0.500 0.646
Ni3 Ni 0.500 0.500 0.000
As1 As 0.000 0.500 0.873
As2 As 0.500 0.500 0.500


Entry 2:
# CdNiAs2Pt (PBE, optimized geometry)
# Energy: -4.108 eV per atom
# DOS at the Fermi energy: 0.503 states/eV/atom
# Formation energy from the elements: 28.9 kJ per mole of atoms
# ρ: 8714 kg/m3
data_CdNiAs2Pt
_space_group_name_H-M_alt 'P 4/m m m'
_space_group_IT_number 123
_space_group_name_Hall '-P 4 2'
_cell_length_a 4.435
_cell_length_b 4.435
_cell_length_c 4.999
_cell_angle_alpha 90.00
_cell_angle_beta 90.00
_cell_angle_gamma 90.00
loop_
_atom_site_label
_atom_site_type_symbol
_atom_site_fract_x
_atom_site_fract_y
_atom_site_fract_z
Cd1 Cd 0.000 0.000 0.000
Ni1 Ni 0.500 0.500 0.500
As1 As 0.000 0.500 0.500
Pt1 Pt 0.500 0.500 0.000


Entry 3:
# RbCdNiAs (PBE, optimized geometry)
# Energy: -3.328 eV per atom
# DOS at the Fermi energy: 0.663 states/eV/atom
# Formation energy from the elements: -24.1 kJ per mole of atoms
# ρ: 4877 kg/m3
data_RbCdNiAs
_space_group_name_H-M_alt 'P 4/n m m'
_space_group_IT_number 129
_cell_length_a 4.127
_cell_length_b 4.127
_cell_length_c 13.250
_cell_angle_alpha 90.00
_cell_angle_beta 90.00
_cell_angle_gamma 90.00
loop_
_space_group_symop_operation_xyz
'x,y,z'
'-x,-y,-z'
'-y+1/2,x,z'
'y+1/2,-x,-z'
'-x+1/2,-y+1/2,z'
'x+1/2,y+1/2,-z'
'y,-x+1/2,z'
'-y,x+1/2,-z'
'x+1/2,-y,-z'
'-x+1/2,y,z'
'-y,-x,-z'
'y,x,z'
'-x,y+1/2,-z'
'x,-y+1/2,z'
'y+1/2,x+1/2,-z'
'-y+1/2,-x+1/2,z'
loop_
_atom_site_label
_atom_site_type_symbol
_atom_site_fract_x
_atom_site_fract_y
_atom_site_fract_z
Rb1 Rb 0.250 0.250 0.237
Cd1 Cd 0.250 0.750 0.500
Ni1 Ni 0.250 0.750 0.000
As1 As 0.250 0.250 0.915


Entry 4:
# Cd2NiAs2Rh (PBE, optimized geometry)
# Energy: -4.232 eV per atom
# DOS at the Fermi energy: 0.560 states/eV/atom
# Formation energy from the elements: -18.1 kJ per mole of atoms
# ρ: 8200 kg/m3
data_Cd2NiAs2Rh
_space_group_name_H-M_alt 'I b a m'
_space_group_IT_number 72
_space_group_name_Hall '-I 2 2c'
_cell_length_a 6.065
_cell_length_b 12.287
_cell_length_c 5.829
_cell_angle_alpha 90.00
_cell_angle_beta 90.00
_cell_angle_gamma 90.00
loop_
_atom_site_label
_atom_site_type_symbol
_atom_site_fract_x
_atom_site_fract_y
_atom_site_fract_z
Cd1 Cd 0.246 0.165 0.000
Ni1 Ni 0.000 0.500 0.250
As1 As 0.233 0.389 0.000
Rh1 Rh 0.000 0.000 0.250